No. 1
An optimized crystal structure of K3Dy2TmO6, computed with PBE.

Structure (CIF):
```
data_K3Dy2TmO6
_space_group_name_H-M_alt 'C 1 2/m 1'
_space_group_IT_number 12
_space_group_name_Hall '-C 2y'
_cell_length_a 5.998
_cell_length_b 10.389
_cell_length_c 6.566
_cell_angle_alpha 90.00
_cell_angle_beta 107.73
_cell_angle_gamma 90.00
loop_
_atom_site_label
_atom_site_type_symbol
_atom_site_fract_x
_atom_site_fract_y
_atom_site_fract_z
_atom_site_occupancy
K1 K 0.000 0.000 0.000 1
K2 K 0.000 0.334 0.000 1
Dy1 Dy 0.000 0.167 0.500 1
Tm1 Tm 0.000 0.500 0.500 1
O1 O 0.226 0.335 0.685 1
O2 O 0.232 0.000 0.684 1
```

Results
- Crystal system: monoclinic
- Formation energy without anion corrections: -2.784 eV/atom

***

No. 2
An optimized crystal structure of Na3YPt8, computed with PBE.

Structure (CIF):
```
data_Na3YPt8
_space_group_name_H-M_alt 'R 3 m'
_space_group_IT_number 160
_space_group_name_Hall 'R 3 -2"'
_cell_length_a 5.3895
_cell_length_b 5.3895
_cell_length_c 26.3223
_cell_angle_alpha 90.00
_cell_angle_beta 90.00
_cell_angle_gamma 120.00
loop_
_atom_site_label
_atom_site_type_symbol
_atom_site_fract_x
_atom_site_fract_y
_atom_site_fract_z
_atom_site_occupancy
Na1 Na 0.0000 0.0000 0.0000 1
Na2 Na 0.0000 0.0000 0.1200 1
Na3 Na 0.0000 0.0000 0.6299 1
Y1 Y 0.0000 0.0000 0.5007 1
Pt1 Pt 0.0000 0.0000 0.3133 1
Pt2 Pt 0.0000 0.0000 0.8130 1
Pt3 Pt 0.0016 0.5008 0.0642 1
Pt4 Pt 0.1676 0.3351 0.8956 1
```

Results
- Calculated formation energy: -0.614 eV/atom
- Crystal system: trigonal

***

No. 3
An optimized crystal structure of CsZnAgI4, computed with PBE.

Structure (CIF):
```
data_CsZnAgI4
_space_group_name_H-M_alt 'P 1 21/m 1'
_space_group_IT_number 11
_space_group_name_Hall '-P 2yb'
_cell_length_a 7.189
_cell_length_b 8.706
_cell_length_c 10.448
_cell_angle_alpha 90.00
_cell_angle_beta 105.71
_cell_angle_gamma 90.00
loop_
_atom_site_label
_atom_site_type_symbol
_atom_site_fract_x
_atom_site_fract_y
_atom_site_fract_z
_atom_site_occupancy
Cs1 Cs 0.244 0.250 0.082 1
Zn1 Zn 0.185 0.750 0.308 1
Ag1 Ag 0.305 0.250 0.677 1
I1 I 0.050 0.010 0.721 1
I2 I 0.335 0.750 0.095 1
I3 I 0.486 0.750 0.515 1
```

Results
- Crystal system: monoclinic
- Formation energy without anion corrections: -0.765 eV/atom

***

No. 4
An optimized crystal structure of Pm2Sb4PdPt3, computed with PBE.

Structure (CIF):
```
data_Pm2Sb4PdPt3
_space_group_name_H-M_alt 'P -4 m 2'
_space_group_IT_number 115
_space_group_name_Hall 'P -4 -2'
_cell_length_a 4.633
_cell_length_b 4.633
_cell_length_c 10.658
_cell_angle_alpha 90.00
_cell_angle_beta 90.00
_cell_angle_gamma 90.00
loop_
_atom_site_label
_atom_site_type_symbol
_atom_site_fract_x
_atom_site_fract_y
_atom_site_fract_z
_atom_site_occupancy
Pm1 Pm 0.000 0.500 0.235 1
Sb1 Sb 0.000 0.000 0.500 1
Sb2 Sb 0.000 0.500 0.872 1
Sb3 Sb 0.500 0.500 0.500 1
Pd1 Pd 0.500 0.500 0.000 1
Pt1 Pt 0.000 0.000 0.000 1
Pt2 Pt 0.000 0.500 0.629 1
```

Results
- Crystal system: tetragonal
- Formation energy without anion corrections: -0.810 eV/atom